# 1
Computed, not measured: an optimized crystal structure of CsSrCl3 at the GGA-PBE level of DFT.

a = 8.1109 Å, b = 11.3785 Å, c = 7.9449 Å
α = 90.00°, β = 90.00°, γ = 90.00°
With the nearest neighbours (Å) after each atom.
Space group Pnma (No. 62)
Unique sites:
Cs  0.0432  0.2500  0.0113 [4 per cell]  8 Cl 3.57-3.93
Sr  0.0000  0.0000  0.5000 [4 per cell]  6 Cl 2.90
Cl  0.0168  0.7500  0.4344 [4 per cell]  2 Sr 2.90
Cl  0.2109  0.5346  0.7907 [8 per cell]  2 Sr 2.90

Properties
Fermi-level density of states: 0.0000 states/eV/atom
Spin magnetization: 0.00 Bohr magnetons per cell
Total DFT energy (no corrections): -19.62 eV/f.u.

# 2
Computed, not measured: an optimized crystal structure of CsSrCl3 at the GGA-PBE level of DFT.

a = 11.5220 Å, b = 16.9219 Å, c = 7.3663 Å
α = 90.00°, β = 90.00°, γ = 90.00°
With the nearest neighbours (Å) after each atom.
Space group Cmce (No. 64)
Unique sites:
Cs  0.2500  0.1645  0.2500 [8 per cell]  9 Cl 3.44-3.76
Sr  0.0000  0.1141  0.6854 [8 per cell]  6 Cl 2.87-3.03
Cl  0.0000  0.0552  0.2975 [8 per cell]  2 Sr 2.87-3.03
Cl  0.0000  0.2378  0.9770 [8 per cell]  2 Sr 2.94-3.00
Cl  0.2500  0.1203  0.7500 [8 per cell]  2 Sr 2.92

Properties
Fermi-level density of states: 0.0000 states/eV/atom
Spin magnetization: 0.00 Bohr magnetons per cell
Total DFT energy (no corrections): -19.38 eV/f.u.

# 3
Computed, not measured: an optimized crystal structure of CsSrCl3 at the GGA-PBE level of DFT.

a = 9.5514 Å, b = 4.4085 Å, c = 9.6300 Å
α = 90.00°, β = 116.78°, γ = 90.00°
With the nearest neighbours (Å) after each atom.
Space group P2 (No. 3)
Unique sites:
Cs  0.0000  0.0000  0.0000 [1 per cell]  4 Cl 3.53
Cs  0.0000  0.9996  0.5000 [1 per cell]  8 Cl 3.58-3.81
Sr  0.5000  0.4992  0.0000 [1 per cell]  6 Cl 2.87-2.94
Sr  0.5000  0.9980  0.5000 [1 per cell]  6 Cl 2.91-2.93
Cl  0.1648  0.4998  0.8272 [2 per cell]  1 Sr 2.87
Cl  0.2749  0.4982  0.4124 [2 per cell]  2 Sr 2.92-2.93
Cl  0.4676  0.9992  0.1847 [2 per cell]  3 Sr 2.91-2.94

Properties
Fermi-level density of states: 0.0000 states/eV/atom
Spin magnetization: 0.00 Bohr magnetons per cell
Total DFT energy (no corrections): -19.47 eV/f.u.

# 4
Computed, not measured: an optimized crystal structure of Cs6SrCl8 at the GGA-PBE level of DFT.

a = 10.1790 Å, b = 10.1790 Å, c = 20.4955 Å
α = 90.00°, β = 90.00°, γ = 120.00°
With the nearest neighbours (Å) after each atom.
Space group R-3 (No. 148, hexagonal axes)
Unique sites:
Cs  0.0194  0.4074  0.4174 [18 per cell]  7 Cl 3.49-3.73
Sr  0.0000  0.0000  0.5000 [3 per cell]  6 Cl 2.93
Cl  0.0000  0.0000  0.1584 [6 per cell]  6 Cs 3.49-3.62
Cl  0.0104  0.2426  0.5809 [18 per cell]  1 Sr 2.93

Properties
Fermi-level density of states: 0.0000 states/eV/atom
Spin magnetization: 1.08 Bohr magnetons per cell
Total DFT energy (no corrections): -52.41 eV/f.u.

# 5
Computed, not measured: an optimized crystal structure of Cs4SrCl5 at the GGA-PBE level of DFT.

a = 11.6830 Å, b = 11.6830 Å, c = 6.7740 Å
α = 90.00°, β = 90.00°, γ = 90.00°
With the nearest neighbours (Å) after each atom.
Space group I4 (No. 79)
Unique sites:
Cs  0.1133  0.6990  0.0000 [8 per cell]  5 Cl 3.49-3.77
Sr  0.0000  0.0000  0.5346 [2 per cell]  5 Cl 2.90-2.93
Cl  0.0000  0.0000  0.9670 [2 per cell]  1 Sr 2.93
Cl  0.0842  0.7674  0.4990 [8 per cell]  1 Sr 2.90

Properties
Fermi-level density of states: 0.2113 states/eV/atom
Spin magnetization: 0.80 Bohr magnetons per cell
Total DFT energy (no corrections): -33.10 eV/f.u.

# 6
Computed, not measured: an optimized crystal structure of CsSrCl3 at the GGA-PBE level of DFT.

a = 8.6526 Å, b = 8.6526 Å, c = 21.1935 Å
α = 90.00°, β = 90.00°, γ = 120.00°
With the nearest neighbours (Å) after each atom.
Space group R-3c (No. 167, hexagonal axes)
Unique sites:
Cs  0.0000  0.0000  0.0000 [6 per cell]  6 Cl 3.45
Sr  0.0000  0.0000  0.2500 [6 per cell]  3 Cl 2.74
Cl  0.0000  0.3166  0.2500 [18 per cell]  1 Sr 2.74

Properties
Fermi-level density of states: 0.0000 states/eV/atom
Spin magnetization: 0.00 Bohr magnetons per cell
Total DFT energy (no corrections): -18.46 eV/f.u.

# 7
Computed, not measured: an optimized crystal structure of CsSrCl3 at the GGA-PBE level of DFT.

a = 8.0993 Å, b = 8.1011 Å, c = 5.7283 Å
α = 90.00°, β = 90.06°, γ = 90.00°
With the nearest neighbours (Å) after each atom.
Space group Cm (No. 8)
Unique sites:
Cs  0.0000  0.0000  0.0000 [2 per cell]  12 Cl 3.98-4.12
Sr  0.0000  0.5000  0.5118 [2 per cell]  6 Cl 2.86-2.87
Cl  0.2504  0.2510  0.5163 [4 per cell]  2 Sr 2.86-2.87
Cl  0.4980  0.0000  0.0123 [2 per cell]  2 Sr 2.86-2.87

Properties
Fermi-level density of states: 0.0000 states/eV/atom
Spin magnetization: 0.00 Bohr magnetons per cell
Total DFT energy (no corrections): -19.55 eV/f.u.

# 8
Computed, not measured: an optimized crystal structure of CsSrCl3 at the GGA-PBE level of DFT.

a = 17.3978 Å, b = 4.7218 Å, c = 10.1630 Å
α = 90.00°, β = 122.10°, γ = 90.00°
With the nearest neighbours (Å) after each atom.
Space group C2/m (No. 12)
Unique sites:
Cs  0.1133  0.0000  0.4664 [4 per cell]  6 Cl 3.32-3.69
Sr  0.1508  0.5000  0.0488 [4 per cell]  7 Cl 2.91-3.06
Cl  0.0408  0.5000  0.1969 [4 per cell]  2 Sr 2.91-3.00
Cl  0.1508  0.0000  0.8593 [4 per cell]  3 Sr 3.05-3.06
Cl  0.2279  0.0000  0.2720 [4 per cell]  2 Sr 3.05

Properties
Fermi-level density of states: 0.0000 states/eV/atom
Spin magnetization: 0.00 Bohr magnetons per cell
Total DFT energy (no corrections): -19.39 eV/f.u.

# 9
Computed, not measured: an optimized crystal structure of CsSrCl3 at the GGA-PBE level of DFT.

a = 5.8040 Å, b = 5.8040 Å, c = 25.6557 Å
α = 90.00°, β = 90.00°, γ = 90.00°
With the nearest neighbours (Å) after each atom.
Space group I-4m2 (No. 119)
Unique sites:
Cs  0.0000  0.0000  0.0000 [2 per cell]  4 Cl 3.32
Cs  0.0000  0.5000  0.2500 [2 per cell]  8 Cl 3.33-3.72
Sr  0.0000  0.5000  0.6413 [4 per cell]  6 Cl 3.13-3.30
Cl  0.0000  0.0000  0.3134 [4 per cell]  2 Sr 3.13, 2 Cs 3.33
Cl  0.0000  0.2486  0.1167 [8 per cell]  2 Cl 2.89-2.92

Properties
Fermi-level density of states: 0.1440 states/eV/atom
Spin magnetization: 0.00 Bohr magnetons per cell
Total DFT energy (no corrections): -16.44 eV/f.u.

# 10
Computed, not measured: an optimized crystal structure of Cs12Sr3Cl5 at the GGA-PBE level of DFT.

a = 23.3424 Å, b = 23.3424 Å, c = 23.3424 Å
α = 90.00°, β = 90.00°, γ = 90.00°
With the nearest neighbours (Å) after each atom.
Space group Ia-3d (No. 230)
Unique sites:
Cs  0.0408  0.0442  0.6427 [96 per cell]  2 Cl 3.35-3.62
Sr  0.0000  0.2500  0.1250 [24 per cell]  8 Cs 4.72-4.91
Cl  0.0000  0.0000  0.0000 [16 per cell]  6 Cs 3.62
Cl  0.0000  0.2500  0.3750 [24 per cell]  4 Cs 3.35

Properties
Fermi-level density of states: 0.8616 states/eV/atom
Spin magnetization: 0.04 Bohr magnetons per cell
Total DFT energy (no corrections): -39.99 eV/f.u.

# 11
Computed, not measured: an optimized crystal structure of CsSr2Cl at the GGA-PBE level of DFT.

a = 9.6972 Å, b = 9.6972 Å, c = 9.6972 Å
α = 90.00°, β = 90.00°, γ = 90.00°
With the nearest neighbours (Å) after each atom.
Space group Fm-3m (No. 225)
Unique sites:
Cs  0.0000  0.0000  0.0000 [4 per cell]  8 Sr 4.20
Sr  0.2500  0.2500  0.2500 [8 per cell]  4 Cl 4.20, 4 Cs 4.20
Cl  0.0000  0.0000  0.5000 [4 per cell]  8 Sr 4.20

Properties
Fermi-level density of states: 0.7332 states/eV/atom
Spin magnetization: 0.00 Bohr magnetons per cell
Total DFT energy (no corrections): -6.79 eV/f.u.
ΔE to the lowest computed polymorph: 433 meV per atom

# 12
Computed, not measured: an optimized crystal structure of Cs4SrCl6 at the GGA-PBE level of DFT.

a = 13.4702 Å, b = 13.4702 Å, c = 16.9228 Å
α = 90.00°, β = 90.00°, γ = 120.00°
With the nearest neighbours (Å) after each atom.
Space group R-3c (No. 167, hexagonal axes)
Unique sites:
Cs  0.0000  0.0000  0.2500 [6 per cell]  6 Cl 3.47
Cs  0.0000  0.3682  0.2500 [18 per cell]  8 Cl 3.65-3.79
Sr  0.0000  0.0000  0.0000 [6 per cell]  6 Cl 2.91
Cl  0.0250  0.1867  0.3998 [36 per cell]  1 Sr 2.91

Properties
Fermi-level density of states: 0.0000 states/eV/atom
Spin magnetization: 0.00 Bohr magnetons per cell
Total DFT energy (no corrections): -39.53 eV/f.u.

# 13
Computed, not measured: an optimized crystal structure of CsSrCl3 at the GGA-PBE level of DFT.

a = 4.3746 Å, b = 9.5214 Å, c = 15.0935 Å
α = 90.00°, β = 90.00°, γ = 90.00°
With the nearest neighbours (Å) after each atom.
Space group Amm2 (No. 38)
Unique sites:
Cs  0.0000  0.0000  0.0000 [2 per cell]  4 Cl 3.30-3.39
Sr  0.5000  0.0000  0.3476 [2 per cell]  5 Cl 2.77-2.91
Cl  0.0000  0.1916  0.3881 [4 per cell]  2 Sr 2.91
Cl  0.5000  0.0000  0.1638 [2 per cell]  1 Sr 2.77

Properties
Fermi-level density of states: 0.0000 states/eV/atom
Spin magnetization: 0.26 Bohr magnetons per cell
Total DFT energy (no corrections): -18.91 eV/f.u.

# 14
Computed, not measured: an optimized crystal structure of CsSrCl3 at the GGA-PBE level of DFT.

a = 9.3967 Å, b = 9.3967 Å, c = 12.6676 Å
α = 90.00°, β = 90.00°, γ = 120.00°
With the nearest neighbours (Å) after each atom.
Space group R3m (No. 160, hexagonal axes)
Unique sites:
Cs  0.0000  0.0000  0.0000 [3 per cell]  6 Cl 3.40-3.65
Sr  0.0000  0.0000  0.6712 [3 per cell]  3 Cl 2.70
Cl  0.0463  0.5232  0.4451 [9 per cell]  1 Sr 2.70

Properties
Fermi-level density of states: 0.0000 states/eV/atom
Spin magnetization: 0.00 Bohr magnetons per cell
Total DFT energy (no corrections): -18.00 eV/f.u.

# 15
Computed, not measured: an optimized crystal structure of CsSrCl3 at the GGA-PBE level of DFT.

a = 6.1402 Å, b = 6.1402 Å, c = 6.1402 Å
α = 90.00°, β = 90.00°, γ = 90.00°
With the nearest neighbours (Å) after each atom.
Space group Pm-3m (No. 221)
Unique sites:
Cs  0.0000  0.0000  0.0000 [1 per cell]  6 Cl 3.07
Sr  0.5000  0.5000  0.5000 [1 per cell]  12 Cl 4.34
Cl  0.0000  0.0000  0.5000 [3 per cell]  2 Cs 3.07

Properties
Fermi-level density of states: 0.0000 states/eV/atom
Spin magnetization: 0.00 Bohr magnetons per cell
Total DFT energy (no corrections): -14.64 eV/f.u.

# 16
Computed, not measured: an optimized crystal structure of Cs2SrCl at the GGA-PBE level of DFT.

a = 10.3055 Å, b = 10.3055 Å, c = 10.3055 Å
α = 90.00°, β = 90.00°, γ = 90.00°
With the nearest neighbours (Å) after each atom.
Space group Fm-3m (No. 225)
Unique sites:
Cs  0.2500  0.2500  0.2500 [8 per cell]  4 Cl 4.46, 4 Sr 4.46
Sr  0.0000  0.0000  0.0000 [4 per cell]  8 Cs 4.46
Cl  0.0000  0.0000  0.5000 [4 per cell]  8 Cs 4.46

Properties
Fermi-level density of states: 0.7740 states/eV/atom
Spin magnetization: 4.00 Bohr magnetons per cell
Total DFT energy (no corrections): -6.72 eV/f.u.
ΔE to the lowest computed polymorph: 443 meV per atom

# 17
Computed, not measured: an optimized crystal structure of Cs2SrCl at the GGA-PBE level of DFT.

a = 10.6151 Å, b = 10.6151 Å, c = 10.9441 Å
α = 90.00°, β = 90.00°, γ = 90.00°
With the nearest neighbours (Å) after each atom.
Space group I-42d (No. 122)
Unique sites:
Cs  0.1362  0.2500  0.1250 [8 per cell]  2 Cl 3.32
Sr  0.0000  0.0000  0.5000 [4 per cell]  8 Cs 4.88-5.10
Cl  0.0000  0.0000  0.0000 [4 per cell]  4 Cs 3.32

Properties
Fermi-level density of states: 0.9352 states/eV/atom
Spin magnetization: 0.02 Bohr magnetons per cell
Total DFT energy (no corrections): -7.96 eV/f.u.
ΔE to the lowest computed polymorph: 132 meV per atom

# 18
Computed, not measured: an optimized crystal structure of CsSrCl3 at the GGA-PBE level of DFT.

a = 17.4646 Å, b = 4.4697 Å, c = 9.3383 Å
α = 90.00°, β = 98.11°, γ = 90.00°
With the nearest neighbours (Å) after each atom.
Space group Cm (No. 8)
Unique sites:
Cs  0.0000  0.0000  0.0000 [2 per cell]  8 Cl 3.56-3.80
Cs  0.2303  0.5000  0.7303 [2 per cell]  7 Cl 3.44-3.64
Sr  0.0009  0.0000  0.4840 [2 per cell]  6 Cl 2.83-2.97
Sr  0.2702  0.0000  0.2324 [2 per cell]  6 Cl 2.93-3.01
Cl  0.0198  0.5000  0.6951 [2 per cell]  2 Sr 2.97
Cl  0.1599  0.0000  0.4528 [2 per cell]  2 Sr 2.83-3.01
Cl  0.1757  0.5000  0.0926 [2 per cell]  2 Sr 2.97
Cl  0.3325  0.5000  0.4271 [2 per cell]  3 Sr 2.91-2.99
Cl  0.3357  0.0000  0.9598 [2 per cell]  1 Sr 2.93
Cl  0.4694  0.0000  0.2837 [2 per cell]  2 Sr 2.92

Properties
Fermi-level density of states: 0.0000 states/eV/atom
Spin magnetization: 0.00 Bohr magnetons per cell
Total DFT energy (no corrections): -19.44 eV/f.u.

# 19
Computed, not measured: an optimized crystal structure of CsSrCl3 at the GGA-PBE level of DFT.

a = 5.5261 Å, b = 5.5261 Å, c = 11.9875 Å
α = 90.00°, β = 90.00°, γ = 120.00°
With the nearest neighbours (Å) after each atom.
Space group P6_3/mmc (No. 194)
Unique sites:
Cs  0.3333  0.6667  0.2500 [2 per cell]  3 Cl 3.19
Sr  0.0000  0.0000  0.0000 [2 per cell]  8 Cl 3.00-3.26
Cl  0.0000  0.0000  0.2500 [2 per cell]  2 Sr 3.00, 3 Cs 3.19
Cl  0.3333  0.6667  0.5543 [4 per cell]  3 Sr 3.26, 3 Cl 3.45

Properties
Fermi-level density of states: 0.0000 states/eV/atom
Spin magnetization: 0.00 Bohr magnetons per cell
Total DFT energy (no corrections): -18.87 eV/f.u.

Calculated energy relative to the elements, uncorrected in order - -11.5, -11.3, -11.4, -30.8, -18.8, -10.4, -11.5, -11.3, -8.4, -15.5, -0.7, -23.4, -10.8, -9.9, -6.6, -1.5, -2.7, -11.4, -10.8 eV/f.u.